## Cu2MoW (PBE-GGA)

Data for Cu2MoW after structural relaxation.

Geometry as CIF:
```
data_Cu2MoW
_cell_length_a 2.6733
_cell_length_b 2.6733
_cell_length_c 7.8834
_cell_angle_alpha 90.00
_cell_angle_beta 90.00
_cell_angle_gamma 90.00
_symmetry_space_group_name_H-M 'P 4 m m'
_symmetry_Int_Tables_number 99
loop_
_symmetry_equiv_pos_as_xyz
'x,y,z'
'-y,x,z'
'-x,-y,z'
'y,-x,z'
'-x,y,z'
'y,x,z'
'x,-y,z'
'-y,-x,z'
loop_
_atom_site_label
_atom_site_fract_x
_atom_site_fract_y
_atom_site_fract_z
Cu1 0.0000 0.0000 0.0000
Cu2 0.5000 0.5000 0.2163
Mo1 0.0000 0.0000 0.4617
W1 0.5000 0.5000 0.7555
```

Values from the calculation:
* ΔH_f (0 K): 0.23 eV/atom
* final energy: -7.766 eV per atom
* M_tot: 0.00 μB/f.u.
* E above lowest polymorph: 42.3 meV/atom